Entry 1:
This record from the Alexandria database describes K3PS after structural relaxation. The functional is PBE.

Cell: 5.9989 5.9989 5.9989 Å, 90.00 90.00 90.00°
With the nearest neighbours (Å) after each atom.
Space group Pm-3m (No. 221)
One atom of each set of equivalent atoms:
K: 0.0000 0.0000 0.5000 [3 per cell]  2 S 3.00
P: 0.5000 0.5000 0.5000 [1 per cell]  12 K 4.24
S: 0.0000 0.0000 0.0000 [1 per cell]  6 K 3.00

Calculated volume, Å³ per cell: 215.9
E_form (uncorrected), eV/atom: -0.262

***

Entry 2:
This record from the Alexandria database describes Ca2CuReOs after structural relaxation. The functional is PBE.

Cell: 5.5436 5.5436 4.6280 Å, 90.00 90.00 90.00°
With the nearest neighbours (Å) after each atom.
Space group P4/mmm (No. 123)
One atom of each set of equivalent atoms:
Ca: 0.0000 0.5000 0.0000 [2 per cell]  2 Re 2.77
Cu: 0.0000 0.0000 0.5000 [1 per cell]  8 Ca 3.61, 4 Os 3.92
Re: 0.5000 0.5000 0.0000 [1 per cell]  2 Os 2.31
Os: 0.5000 0.5000 0.5000 [1 per cell]  2 Re 2.31

ΔE_f, meV/atom: 1169
Calculated volume, Å³ per cell: 142.2

***

Entry 3:
This record from the Alexandria database describes CaSmCdPd after structural relaxation. The functional is PBE.

Cell: 7.3500 7.3500 7.3500 Å, 90.00 90.00 90.00°
With the nearest neighbours (Å) after each atom.
Space group F-43m (No. 216)
One atom of each set of equivalent atoms:
Ca: 0.0000 0.0000 0.0000 [4 per cell]  4 Cd 3.18, 4 Pd 3.18
Sm: 0.0000 0.0000 0.5000 [4 per cell]  4 Cd 3.18, 4 Pd 3.18
Cd: 0.2500 0.2500 0.7500 [4 per cell]  4 Ca 3.18, 4 Sm 3.18
Pd: 0.2500 0.2500 0.2500 [4 per cell]  4 Ca 3.18, 4 Sm 3.18

ΔE_f, meV/atom: -496
Calculated volume, Å³ per cell: 397.1

***

Entry 4:
This record from the Alexandria database describes PRuN2 after structural relaxation. The functional is PBE.

Cell: 2.6861 2.6861 18.2267 Å, 90.00 90.00 120.00°
With the nearest neighbours (Å) after each atom.
Space group R-3m (No. 166, hexagonal axes)
One atom of each set of equivalent atoms:
P: 0.0000 0.0000 0.0000 [3 per cell]  6 N 1.83
Ru: 0.0000 0.0000 0.5000 [3 per cell]  2 N 2.08
N: 0.0000 0.0000 0.3861 [6 per cell]  3 P 1.83

Calculated volume, Å³ per cell: 113.9
E_form (uncorrected), eV/atom: 0.085

***

no.,size of the total moment (μB per atom)
1,0.40
2,0.00
3,0.00
4,0.00